YInSi2Ni after structural relaxation. Source: Alexandria, functional PBE.

```
data_YInSi2Ni
_space_group_name_H-M_alt 'P 4/m m m'
_space_group_IT_number 123
_space_group_name_Hall '-P 4 2'
_cell_length_a 4.4643
_cell_length_b 4.4643
_cell_length_c 5.1521
_cell_angle_alpha 90.00
_cell_angle_beta 90.00
_cell_angle_gamma 90.00
loop_
_atom_site_label
_atom_site_fract_x
_atom_site_fract_y
_atom_site_fract_z
Y1 0.0000 0.0000 0.0000
In1 0.5000 0.5000 0.0000
Si1 0.0000 0.5000 0.5000
Ni1 0.0000 0.0000 0.5000
```

Output
Density   5152 kg/m3
Magnetic moment   0.00 Bohr magnetons per cell
ΔE to the lowest computed polymorph   0.000 eV per atom
Formation energy (no corrections)   -0.077 eV per atom

SmIn3Ni2 after structural relaxation. Source: Alexandria, functional PBE.

```
data_SmIn3Ni2
_space_group_name_H-M_alt 'C 1 2/m 1'
_space_group_IT_number 12
_cell_length_a 17.2366
_cell_length_b 4.3356
_cell_length_c 10.5416
_cell_angle_alpha 90.00
_cell_angle_beta 109.49
_cell_angle_gamma 90.00
loop_
_space_group_symop_operation_xyz
'x,y,z'
'-x,-y,-z'
'-x,y,-z'
'x,-y,z'
'x+1/2,y+1/2,z'
'-x+1/2,-y+1/2,-z'
'-x+1/2,y+1/2,-z'
'x+1/2,-y+1/2,z'
loop_
_atom_site_label
_atom_site_fract_x
_atom_site_fract_y
_atom_site_fract_z
Sm1 0.0000 0.0000 0.0000
Sm2 0.1576 0.0000 0.7013
In1 0.0000 0.5000 0.5000
In2 0.0420 0.0000 0.3404
In3 0.1267 0.5000 0.1915
In4 0.1714 0.5000 0.9519
In5 0.2218 0.0000 0.3891
Ni1 0.0220 0.5000 0.7794
Ni2 0.1333 0.5000 0.4422
Ni3 0.1997 0.0000 0.1262
```

Output
Formation energy from the elements   -1.595 eV per formula unit
Density   8213 kg/m3
Magnetic moment   0.00 Bohr magnetons per cell